# Pb3Au (PBE-GGA, relaxed)
# ΔH_f (0 K)   -0.0201 eV per atom
data_Pb3Au
_chemical_formula_sum 'Pb6 Au2'
_cell_length_a 3.778
_cell_length_b 10.108
_cell_length_c 6.052
_cell_angle_alpha 90.00
_cell_angle_beta 90.00
_cell_angle_gamma 90.00
_space_group_name_H-M_alt 'I m m 2'
_space_group_IT_number 44
loop_
_space_group_symop_operation_xyz
'x,y,z'
'-x,-y,z'
'-x,y,z'
'x,-y,z'
'x+1/2,y+1/2,z+1/2'
'-x+1/2,-y+1/2,z+1/2'
'-x+1/2,y+1/2,z+1/2'
'x+1/2,-y+1/2,z+1/2'
loop_
_atom_site_label
_atom_site_type_symbol
_atom_site_fract_x
_atom_site_fract_y
_atom_site_fract_z
Pb1 Pb 0.000 0.000 0.000
Pb2 Pb 0.000 0.206 0.558
Au1 Au 0.000 0.500 0.879